Entry 1:
Entry from the Alexandria database: crystalline BaMgTc2 at its relaxed geometry (PBE-GGA).

E_form = 1.165 eV per atom

a b c (Å): 4.460 4.390 4.390
angles (deg): 90.00 90.00 90.00
Last column: magnetic moment on the atom in μB.
Fractional positions:
1 Ba 0.500 0.500 0.000  0.02
2 Mg 0.500 0.000 0.500  -0.02
3 Tc 0.000 0.000 0.000  1.52
4 Tc 0.000 0.500 0.500  1.52

---

Entry 2:
Entry from the Alexandria database: crystalline Ba2MgTe2 at its relaxed geometry (PBE-GGA).

total DFT energy (no corrections) = -3.51 eV per atom

a b c (Å): 9.196 9.196 4.566
angles (deg): 90.00 90.00 90.00
Fractional positions:
1 Mg 0.000 0.000 0.000
2 Mg 0.500 0.500 0.000
3 Te 0.346 0.846 0.000
4 Te 0.846 0.654 0.000
5 Te 0.654 0.154 0.000
6 Te 0.154 0.346 0.000
7 Ba 0.153 0.653 0.500
8 Ba 0.653 0.847 0.500
9 Ba 0.847 0.347 0.500
10 Ba 0.347 0.153 0.500

---

Entry 3:
Entry from the Alexandria database: crystalline BaMg4Te at its relaxed geometry (PBE-GGA).

total DFT energy (no corrections) = -2.04 eV per atom

a b c (Å): 6.315 6.315 6.315
angles (deg): 60.00 60.00 60.00
Fractional positions:
1 Ba 0.000 0.000 0.000
2 Mg 0.873 0.376 0.376
3 Mg 0.376 0.376 0.873
4 Mg 0.376 0.873 0.376
5 Mg 0.376 0.376 0.376
6 Te 0.750 0.750 0.750

---

Entry 4:
Entry from the Alexandria database: crystalline BaMgTe at its relaxed geometry (PBE-GGA).

polymorph energy (0 for the lowest one) = 0.0 meV/atom

a b c (Å): 5.167 5.167 4.550
angles (deg): 90.00 90.00 120.00
Fractional positions:
1 Ba 0.000 0.000 0.002
2 Mg 0.667 0.333 0.493
3 Te 0.333 0.667 0.505

---

Number 1: size of the total moment 0.83 μB/atom. Number 2: size of the total moment 0.00 μB/atom. Number 3: size of the total moment 0.00 μB/atom. Number 4: size of the total moment 0.00 μB/atom.